The following is a DFT calculation (PBE-GGA) of a geometry-optimized BaCa2Dy structure.

```
BaCa2Dy
1.0
6.203 0.000 0.000
3.101 5.372 0.000
3.101 1.791 5.064
Ba Dy Ca
1 1 2
Direct
0.500 0.500 0.500
0.000 0.000 0.000
0.250 0.250 0.250
0.750 0.750 0.750
```

Results
The crystal system is cubic. The magnetization is 0.00 μB/f.u. Its formation energy is 0.173 eV/atom. Its offset from the most stable computed form is 0.22 eV/f.u. The value obtained for the total DFT energy (no corrections) is -9.8 eV for the cell shown. The calculation puts the density of states at the Fermi level at 6.50 states/eV per cell. The volume is 169 Å³/f.u.